[1]
Crystalline LiTbOs at its relaxed geometry. Source: Alexandria, functional PBE.

## Properties
Final energy (eV per atom): -5.800
Spin magnetization (μB per formula unit): 0.00
Formation energy from the elements (eV/atom): 0.125

Cell: 5.4889 11.1264 8.0620 Å, 90.00 90.00 90.00°
Space group Cmce (No. 64)
Inequivalent atoms, fractional coordinates:
Li 0.2500 0.0889 0.2500
Tb 0.0000 0.1583 0.6144
Os 0.0000 0.1073 0.9722



[2]
Crystalline LiTb2Os at its relaxed geometry. Source: Alexandria, functional PBE.

## Properties
Final energy (eV per atom): -5.390
Spin magnetization (μB per formula unit): 0.00
Formation energy from the elements (eV/atom): 0.211

Cell: 3.9458 3.9458 29.9260 Å, 90.00 90.00 120.00°
Space group R-3m (No. 166, hexagonal axes)
Inequivalent atoms, fractional coordinates:
Li 0.0000 0.0000 0.0000
Tb 0.0000 0.0000 0.1158
Os 0.0000 0.0000 0.5000



[3]
Crystalline LiTb2Os at its relaxed geometry. Source: Alexandria, functional PBE.

## Properties
Final energy (eV per atom): -5.740
Spin magnetization (μB per formula unit): 0.00
Formation energy from the elements (eV/atom): -0.139

Cell: 3.4240 3.4240 8.1605 Å, 90.00 90.00 90.00°
Space group P4/mmm (No. 123)
Inequivalent atoms, fractional coordinates:
Li 0.0000 0.0000 0.0000
Tb 0.5000 0.5000 0.2958
Os 0.0000 0.0000 0.5000



[4]
Crystalline LiTbThOs at its relaxed geometry. Source: Alexandria, functional PBE.

## Properties
Final energy (eV per atom): -6.481
Spin magnetization (μB per formula unit): 0.00
Formation energy from the elements (eV/atom): -0.182

Cell: 7.0881 7.0881 7.0881 Å, 90.00 90.00 90.00°
Space group F-43m (No. 216)
Inequivalent atoms, fractional coordinates:
Li 0.0000 0.0000 0.0000
Tb 0.2500 0.2500 0.2500
Th 0.2500 0.2500 0.7500
Os 0.0000 0.0000 0.5000



[5]
Crystalline LiTbYOs at its relaxed geometry. Source: Alexandria, functional PBE.

## Properties
Final energy (eV per atom): -6.273
Spin magnetization (μB per formula unit): 0.00
Formation energy from the elements (eV/atom): -0.214

Cell: 6.9504 6.9504 6.9504 Å, 90.00 90.00 90.00°
Space group F-43m (No. 216)
Inequivalent atoms, fractional coordinates:
Li 0.0000 0.0000 0.0000
Tb 0.2500 0.2500 0.2500
Y 0.2500 0.2500 0.7500
Os 0.0000 0.0000 0.5000



[6]
Crystalline LiTcOs2 at its relaxed geometry. Source: Alexandria, functional PBE.

## Properties
Final energy (eV per atom): -8.458
Spin magnetization (μB per formula unit): 0.00
Energy above the most stable polymorph in this dataset (meV/atom): 89
Formation energy from the elements (eV/atom): 0.226

Cell: 2.7317 2.7317 27.2455 Å, 90.00 90.00 120.00°
Space group R3m (No. 160, hexagonal axes)
Inequivalent atoms, fractional coordinates:
Li 0.0000 0.0000 0.0000
Tc 0.0000 0.0000 0.7565
Os 0.0000 0.0000 0.2480
Os 0.0000 0.0000 0.5014



[7]
Crystalline LiTcOs at its relaxed geometry. Source: Alexandria, functional PBE.

## Properties
Final energy (eV per atom): -7.674
Spin magnetization (μB per formula unit): 0.00
Energy above the most stable polymorph in this dataset (meV/atom): 10
Formation energy from the elements (eV/atom): 0.163

Cell: 3.0142 3.0142 8.7661 Å, 90.00 90.00 90.00°
Space group I4mm (No. 107)
Inequivalent atoms, fractional coordinates:
Li 0.0000 0.0000 0.0000
Tc 0.0000 0.0000 0.3285
Os 0.0000 0.0000 0.6668



[8]
Crystalline LiTcOs at its relaxed geometry. Source: Alexandria, functional PBE.

## Properties
Final energy (eV per atom): -7.515
Spin magnetization (μB per formula unit): 0.00
Energy above the most stable polymorph in this dataset (meV/atom): 169
Formation energy from the elements (eV/atom): 0.322

Cell: 2.8252 4.4920 13.8322 Å, 90.00 90.00 90.00°
Space group Fmm2 (No. 42)
Inequivalent atoms, fractional coordinates:
Li 0.0000 0.0000 0.0000
Tc 0.0000 0.0000 0.3258
Os 0.0000 0.0000 0.6676